1.
# La3Zr4 (GGA-PBE, optimized geometry)
# ρ, g/cm3: 6.75
# E_form, eV per atom: 0.507
# V, Å³/atom: 27.48
# Total moment, μB per formula unit: 0.00
data_La3Zr4
_cell_length_a 6.2357
_cell_length_b 6.2357
_cell_length_c 5.7122
_cell_angle_alpha 90.00
_cell_angle_beta 90.00
_cell_angle_gamma 120.00
_space_group_name_H-M_alt 'P 1'
_space_group_IT_number 1
loop_
_space_group_symop_operation_xyz
'x,y,z'
loop_
_atom_site_label
_atom_site_type_symbol
_atom_site_fract_x
_atom_site_fract_y
_atom_site_fract_z
La1 La 0.5000 0.5000 0.0000
Zr1 Zr 0.0000 0.0000 0.2634
Zr2 Zr 0.3333 0.6667 0.5000
Zr3 Zr 0.6667 0.3333 0.5000
La2 La 0.5000 0.0000 0.0000
La3 La 0.0000 0.5000 0.0000
Zr4 Zr 0.0000 0.0000 0.7366



2.
# MnTl5Te5 (GGA-PBE, optimized geometry)
# ρ, g/cm3: 7.56
# ΔE_f (raw), eV/atom: -0.16
# V, Å³/atom: 34.26
# Distance to the lowest polymorph of the same formula, eV per atom: 0.000
# Total moment, μB per formula unit: 3.26
data_MnTl5Te5
_cell_length_a 6.2350
_cell_length_b 8.2546
_cell_length_c 8.6654
_cell_angle_alpha 112.24
_cell_angle_beta 90.00
_cell_angle_gamma 112.19
_space_group_name_H-M_alt 'P 1'
_space_group_IT_number 1
loop_
_space_group_symop_operation_xyz
'x,y,z'
loop_
_atom_site_label
_atom_site_type_symbol
_atom_site_fract_x
_atom_site_fract_y
_atom_site_fract_z
Te1 Te 0.8590 0.7179 0.6887
Tl1 Tl 0.7087 0.4175 0.2849
Te2 Te 0.8497 0.6995 0.0858
Tl2 Tl 0.6275 0.2550 0.7638
Te3 Te 0.1410 0.2821 0.3113
Te4 Te 0.5000 0.0000 0.0000
Tl3 Tl 0.0000 0.0000 0.5000
Tl4 Tl 0.2913 0.5825 0.7151
Te5 Te 0.1503 0.3005 0.9142
Tl5 Tl 0.3725 0.7450 0.2362
Mn1 Mn 0.0000 0.0000 0.0000



3.
# BaAg2F8 (GGA-PBE, optimized geometry)
# ρ, g/cm3: 4.61
# ΔE_f (raw), eV/atom: -1.60
# V, Å³/atom: 16.53
# Distance to the lowest polymorph of the same formula, eV per atom: 0.251
# Total moment, μB per formula unit: 4.06
data_BaAg2F8
_cell_length_a 5.3555
_cell_length_b 5.3555
_cell_length_c 6.3389
_cell_angle_alpha 90.00
_cell_angle_beta 90.00
_cell_angle_gamma 90.00
_space_group_name_H-M_alt 'P 1'
_space_group_IT_number 1
loop_
_space_group_symop_operation_xyz
'x,y,z'
loop_
_atom_site_label
_atom_site_type_symbol
_atom_site_fract_x
_atom_site_fract_y
_atom_site_fract_z
F1 F 0.7506 0.7506 0.2008
F2 F 0.2494 0.7506 0.2008
F3 F 0.2494 0.2494 0.2008
F4 F 0.7506 0.7506 0.7992
F5 F 0.2494 0.7506 0.7992
Ba1 Ba 0.5000 0.5000 0.5000
F6 F 0.7506 0.2494 0.2008
Ag1 Ag 0.5000 0.0000 0.0000
F7 F 0.7506 0.2494 0.7992
F8 F 0.2494 0.2494 0.7992
Ag2 Ag 0.0000 0.5000 0.0000